A relaxed structure of PmCo3Cu4O12, computed with PBE+U.

As for the space group: Im-3. The final energy is -5.762 eV per atom.

```
20
Lattice="-1.571 5.537 -2.725 -2.976 -4.763 -3.002 -1.752 0.075 6.122" Properties=species:S:1:pos:R:3 pbc="T T T"
Pm 0.000 0.000 0.000
Co -2.364 -2.344 1.560
Co -2.274 0.387 -2.864
Co -1.662 2.806 1.698
Cu -0.786 2.768 -1.363
Cu -3.150 0.424 0.198
Cu -1.488 -2.382 -1.501
Cu -0.876 0.037 3.061
O -3.195 -2.212 -2.483
O -3.105 3.060 2.878
O -4.452 -0.089 -1.198
O -3.706 1.500 -3.362
O -2.258 3.946 -0.769
O -2.253 -1.324 -0.016
O -1.986 1.207 -1.195
O -4.041 -3.098 1.164
O -1.847 0.937 1.593
O -2.593 -0.651 3.757
O -4.046 2.172 0.411
O -4.313 -0.359 1.590
```